Entry from the Alexandria database: a geometry-optimized La3Sb structure (PBE).

## Properties
The value obtained for the electronic total energy is -5.206 eV/atom. The calculation puts the relative energy among the computed polymorphs at 0.183 eV/atom. As for the formation energy without anion corrections: -480 meV per atom.

Structure (CIF):
```
data_La3Sb
_chemical_formula_sum 'La6 Sb2'
_cell_length_a 7.145
_cell_length_b 9.583
_cell_length_c 3.695
_cell_angle_alpha 90.00
_cell_angle_beta 90.00
_cell_angle_gamma 90.00
_symmetry_space_group_name_H-M 'C m m m'
_symmetry_Int_Tables_number 65
_symmetry_space_group_name_Hall '-C 2 2'
loop_
_atom_site_label
_atom_site_type_symbol
_atom_site_fract_x
_atom_site_fract_y
_atom_site_fract_z
La1 La 0.000 0.000 0.000
La2 La 0.250 0.250 0.500
Sb1 Sb 0.000 0.500 0.000
```

Entry from the Alexandria database: a geometry-optimized La5Sb3 structure (PBE).

## Properties
The value obtained for the electronic total energy is -5.638 eV/atom. The calculation puts the relative energy among the computed polymorphs at 0.000 eV/atom. As for the formation energy without anion corrections: -1013 meV per atom.

Structure (CIF):
```
data_La5Sb3
_chemical_formula_sum 'La10 Sb6'
_cell_length_a 9.5667
_cell_length_b 9.5667
_cell_length_c 6.6478
_cell_angle_alpha 90.00
_cell_angle_beta 90.00
_cell_angle_gamma 120.00
_symmetry_space_group_name_H-M 'P 63/m c m'
_symmetry_Int_Tables_number 193
_symmetry_space_group_name_Hall '-P 6c 2'
loop_
_atom_site_label
_atom_site_type_symbol
_atom_site_fract_x
_atom_site_fract_y
_atom_site_fract_z
La1 La 0.0000 0.2559 0.2500
La2 La 0.3333 0.6667 0.0000
Sb1 Sb 0.0000 0.3832 0.7500
```

Entry from the Alexandria database: a geometry-optimized LaSb5 structure (PBE).

## Properties
The value obtained for the electronic total energy is -4.575 eV/atom. The calculation puts the relative energy among the computed polymorphs at 0.000 eV/atom. As for the formation energy without anion corrections: -318 meV per atom.

Structure (CIF):
```
data_LaSb5
_chemical_formula_sum 'La2 Sb10'
_cell_length_a 4.846
_cell_length_b 15.766
_cell_length_c 4.470
_cell_angle_alpha 90.00
_cell_angle_beta 90.00
_cell_angle_gamma 90.00
_symmetry_space_group_name_H-M 'C m m m'
_symmetry_Int_Tables_number 65
_symmetry_space_group_name_Hall '-C 2 2'
loop_
_atom_site_label
_atom_site_type_symbol
_atom_site_fract_x
_atom_site_fract_y
_atom_site_fract_z
La1 La 0.000 0.000 0.000
Sb1 Sb 0.000 0.183 0.500
Sb2 Sb 0.000 0.348 0.000
Sb3 Sb 0.000 0.500 0.500
```